# 1
PBE TiAgPb2, relaxed; polymorph energy (0 for the lowest one) = 270 meV per atom; final energy = -4.13 eV/atom; M_tot = 0.0 μB per cell
1.0
-6.675 -1.140 3.857
-1.736 -5.924 -4.756
-2.708 -5.568 1.541
Pb Ti Ag
4 2 2
direct
0.875 0.882 0.750
0.632 0.125 0.250
0.118 0.625 0.250
0.375 0.368 0.750
0.500 0.500 0.000
0.250 0.750 0.500
0.750 0.250 0.500
0.000 0.000 0.000

# 2
PBE Ti2AgPb, relaxed; final energy = -5.21 eV/atom; M_tot = 0.0 μB per cell
1.0
-7.104 0.692 2.512
-0.192 -7.414 1.499
-2.658 -2.849 4.663
Ag Pb Ti
2 2 4
direct
0.250 0.750 0.500
0.500 0.500 0.000
0.000 0.000 0.000
0.750 0.250 0.500
0.375 0.390 0.750
0.140 0.625 0.250
0.610 0.125 0.250
0.875 0.860 0.750

# 3
PBE Ti6AgPb, relaxed; final energy = -6.72 eV/atom; M_tot = 0.0 μB per cell
1.0
-0.360 0.371 4.789
-5.830 -0.437 -0.404
3.262 -4.829 0.620
Ti Pb Ag
6 1 1
direct
0.000 0.587 0.413
0.500 0.915 0.085
0.000 0.077 0.413
0.000 0.587 0.923
0.500 0.915 0.581
0.500 0.419 0.085
0.000 0.083 0.917
0.500 0.417 0.583

# 4
PBE TiAg2Pb, relaxed; final energy = -3.96 eV/atom; M_tot = 0.0 μB per cell
1.0
7.816 0.000 0.000
0.000 7.816 0.000
3.908 3.908 2.853
Ag Pb Ti
4 2 2
direct
0.607 0.125 0.250
0.375 0.393 0.750
0.875 0.857 0.750
0.143 0.625 0.250
0.000 0.000 0.000
0.750 0.250 0.500
0.500 0.500 0.000
0.250 0.750 0.500

# 5
PBE TiAgPb, relaxed; final energy = -4.64 eV/atom; M_tot = 0.0 μB per cell
1.0
3.169 0.000 0.000
0.000 3.169 0.000
-1.585 -1.585 6.269
Pb Ti Ag
1 1 1
direct
0.329 0.329 0.659
0.657 0.657 0.314
0.014 0.014 0.028

# 6
PBE TiAg2Pb2, relaxed; polymorph energy (0 for the lowest one) = 0 meV per atom; final energy = -3.90 eV/atom; M_tot = 0.0 μB per cell
1.0
-1.879 -6.926 -1.556
7.099 -1.816 -0.491
0.045 -0.945 4.152
Ag Pb Ti
4 4 2
direct
0.132 0.368 0.000
0.632 0.132 0.000
0.868 0.632 0.000
0.368 0.868 0.000
0.822 0.322 0.500
0.178 0.678 0.500
0.322 0.178 0.500
0.678 0.822 0.500
0.500 0.500 0.000
0.000 0.000 0.000

# 7
PBE TiAgPb, relaxed; final energy = -4.66 eV/atom; M_tot = 0.0 μB per cell
1.0
-1.863 0.616 2.407
-3.564 -2.595 -4.097
-1.921 -8.020 0.565
Ti Pb Ag
2 2 2
direct
0.850 0.699 0.836
0.150 0.301 0.164
0.138 0.276 0.810
0.862 0.724 0.190
0.598 0.195 0.540
0.402 0.805 0.460

# 8
PBE Ti2AgPb, relaxed; final energy = -5.55 eV/atom; M_tot = 0.0 μB per cell
1.0
-2.348 -1.615 -3.093
2.970 -2.934 -0.723
-1.881 -2.588 2.778
Ti Ag Pb
2 1 1
direct
0.000 0.500 0.000
0.000 0.000 0.500
0.500 0.500 0.500
0.500 0.000 0.000